# Tb2HoMg3TlGa2

A relaxed Tb2HoMg3TlGa2 crystal (PBE, the Open Quantum Materials Database).

Properties
Theoretical density (Mg/m³): 7.0
Space-group type: Amm2
Final energy (eV per atom): -3.43

Lattice parameters (Å, degrees): 4.5490 7.3416 7.3416 119.86 90.00 90.00
Atoms (fractional coordinates):
Ga  0.5000  0.6662  0.3344
Ga  0.5000  0.3344  0.6662
Ho  0.0000  0.5636  0.5636
Mg  0.5000  0.7495  0.0000
Mg  0.5000  0.2505  0.2505
Mg  0.5000  0.0000  0.7495
Tb  0.0000  0.4370  0.0004
Tb  0.0000  0.0004  0.4370
Tl  0.0000  0.9985  0.9985

=====

# Ho2TmMg3TlGa2

A relaxed Ho2TmMg3TlGa2 crystal (PBE, the Open Quantum Materials Database).

Properties
Theoretical density (Mg/m³): 7.3
Space-group type: Amm2
Final energy (eV per atom): -3.39

Lattice parameters (Å, degrees): 4.5272 7.2876 7.2876 119.85 90.00 90.00
Atoms (fractional coordinates):
Ga  0.5000  0.6662  0.3343
Ga  0.5000  0.3343  0.6662
Ho  0.0000  0.4380  0.0003
Ho  0.0000  0.0003  0.4380
Mg  0.5000  0.7495  0.0000
Mg  0.5000  0.2505  0.2505
Mg  0.5000  0.0000  0.7495
Tl  0.0000  0.9985  0.9985
Tm  0.0000  0.5627  0.5627

=====

Question: Which of these has the highest theoretical density?
Answer: Ho2TmMg3TlGa2